Here is an optimized crystal structure of TbSnN2 from the Alexandria database. Energies are from PBE.

Cell: 6.155 6.155 6.155 Å, 32.00 32.00 32.00°
Fractional positions:
Tb 0.000 0.000 0.000
Sn 0.832 0.832 0.832
N 0.252 0.252 0.252
N 0.427 0.427 0.427

## Properties
- uncorrected formation energy (eV per atom) = -0.315

***

Here is an optimized crystal structure of Tb6Sn3N2 from the Alexandria database. Energies are from PBE.

Cell: 12.980 12.980 12.980 Å, 159.04 159.04 29.82°
Fractional positions:
Tb 0.084 0.584 0.500
Tb 0.192 0.192 0.000
Tb 0.416 0.916 0.500
Tb 0.584 0.084 0.500
Tb 0.808 0.808 0.000
Tb 0.916 0.416 0.500
Sn 0.322 0.322 0.000
Sn 0.500 0.500 0.000
Sn 0.678 0.678 0.000
N 0.102 0.102 0.000
N 0.898 0.898 0.000

## Properties
- uncorrected formation energy (eV per atom) = -1.032